Entry 1:
4
Lattice="-1.445 -5.204 -0.308 1.857 -3.409 3.768 -2.429 4.831 -0.160" Properties=species:S:1:pos:R:3 comment="LaSiOs2 PBE optimized geometry" raw_formation_energy_ev_per_atom=0.523 dft_energy_ev_per_cell=-30.7 space_group=I-4m2 pbc="T T T"
La -1.834 -2.340 0.631
Os 0.000 0.000 0.000
Os -0.183 -1.442 2.669
Si 0.206 -4.307 1.730

---

Entry 2:
18
Lattice="6.928 0.000 3.161 2.381 7.396 3.953 0.219 0.630 8.692" Properties=species:S:1:pos:R:3 comment="LiPmAg PBE optimized geometry" relative_energy_mev_per_atom=0 dft_energy_ev_per_cell=-60.2 space_group=Amm2 e_form_mev_per_atom=-175.1 pbc="T T T"
Li 6.836 0.000 3.119
Li 8.136 4.013 9.442
Li 6.215 3.072 7.226
Li 5.203 4.953 9.443
Li 3.902 0.937 3.122
Li 7.516 7.088 13.546
Pm 1.396 0.652 5.415
Pm 7.605 7.373 10.151
Pm 4.171 5.704 6.200
Pm 3.089 2.322 8.571
Pm 6.524 3.991 12.521
Pm 2.478 4.035 3.045
Ag 5.974 2.322 9.887
Ag 7.056 5.704 7.516
Ag 1.036 1.339 2.385
Ag 5.080 6.686 11.864
Ag 3.780 2.673 5.542
Ag 2.336 5.352 8.707